Below is a relaxed MgTc crystal, with properties calculated at the PBE level.

a = 2.8796 Å, b = 2.8796 Å, c = 9.4287 Å
α = 90.00°, β = 90.00°, γ = 120.00°
Sites, in units of the cell vectors:
Mg 0.0000 0.0000 0.9805
Mg 0.6667 0.3333 0.2695
Tc 0.0000 0.0000 0.5193
Tc 0.6667 0.3333 0.7307

D(E_F): 0.732 states/eV per atom
Energy above the lowest structure with this stoichiometry: 134 meV per atom
Formation energy: 109 meV/atom
V: 68 Å³/cell